# 1
# TbPrSm2Y PBE-GGA optimized geometry
# Density = 6.59 g/cm³
# E = -24.0 eV per formula unit
# N(E_F) = 1.237 states/eV/atom
data_TbPrSm2Y
_chemical_formula_sum 'Tb2 Pr2 Sm4 Y2'
_cell_length_a 8.317
_cell_length_b 6.686
_cell_length_c 6.248
_cell_angle_alpha 90.00
_cell_angle_beta 92.05
_cell_angle_gamma 90.00
_space_group_name_H-M_alt 'P 1'
_space_group_IT_number 1
loop_
_space_group_symop_operation_xyz
'x,y,z'
loop_
_atom_site_label
_atom_site_fract_x
_atom_site_fract_y
_atom_site_fract_z
Tb1 0.000 0.073 0.250
Tb2 0.000 0.927 0.750
Pr1 0.000 0.500 0.000
Pr2 0.000 0.500 0.500
Sm1 0.307 0.190 0.738
Sm2 0.307 0.810 0.238
Sm3 0.693 0.190 0.762
Sm4 0.693 0.810 0.262
Y1 0.500 0.338 0.250
Y2 0.500 0.662 0.750

***

# 2
# AcPrErTm PBE-GGA optimized geometry
# Density = 8.25 g/cm³
# N(E_F) = 1.679 states/eV/atom
# ΔE to the lowest computed polymorph = 28 meV per atom
data_AcPrErTm
_chemical_formula_sum 'Ac4 Pr4 Er4 Tm4'
_cell_length_a 8.275
_cell_length_b 8.275
_cell_length_c 8.275
_cell_angle_alpha 90.00
_cell_angle_beta 90.00
_cell_angle_gamma 90.00
_space_group_name_H-M_alt 'P 1'
_space_group_IT_number 1
loop_
_space_group_symop_operation_xyz
'x,y,z'
loop_
_atom_site_label
_atom_site_fract_x
_atom_site_fract_y
_atom_site_fract_z
Ac1 0.000 0.000 0.000
Ac2 0.000 0.500 0.500
Ac3 0.500 0.000 0.500
Ac4 0.500 0.500 0.000
Pr1 0.000 0.000 0.500
Pr2 0.000 0.500 0.000
Pr3 0.500 0.000 0.000
Pr4 0.500 0.500 0.500
Er1 0.250 0.250 0.750
Er2 0.250 0.750 0.250
Er3 0.750 0.250 0.250
Er4 0.750 0.750 0.750
Tm1 0.250 0.250 0.250
Tm2 0.250 0.750 0.750
Tm3 0.750 0.250 0.750
Tm4 0.750 0.750 0.250

***

# 3
# Ce3Ru2Pb2 PBE-GGA optimized geometry
# Density = 9.46 g/cm³
# E = -45.6 eV per formula unit
# N(E_F) = 1.375 states/eV/atom
data_Ce3Ru2Pb2
_chemical_formula_sum 'Ce3 Ru2 Pb2'
_cell_length_a 3.816
_cell_length_b 5.938
_cell_length_c 8.913
_cell_angle_alpha 106.90
_cell_angle_beta 90.14
_cell_angle_gamma 108.70
_space_group_name_H-M_alt 'P 1'
_space_group_IT_number 1
loop_
_space_group_symop_operation_xyz
'x,y,z'
loop_
_atom_site_label
_atom_site_fract_x
_atom_site_fract_y
_atom_site_fract_z
Ce1 0.000 0.000 0.000
Ce2 0.231 0.464 0.794
Ce3 0.769 0.536 0.206
Ru1 0.419 0.836 0.157
Ru2 0.581 0.164 0.843
Pb1 0.093 0.179 0.392
Pb2 0.907 0.821 0.608

***

# 4
# ZrPaReNi PBE-GGA optimized geometry
# Density = 12.58 g/cm³
# E = -36.9 eV per formula unit
# N(E_F) = 1.731 states/eV/atom
data_ZrPaReNi
_chemical_formula_sum 'Zr4 Pa4 Re4 Ni4'
_cell_length_a 6.690
_cell_length_b 6.690
_cell_length_c 6.690
_cell_angle_alpha 90.00
_cell_angle_beta 90.00
_cell_angle_gamma 90.00
_space_group_name_H-M_alt 'P 1'
_space_group_IT_number 1
loop_
_space_group_symop_operation_xyz
'x,y,z'
loop_
_atom_site_label
_atom_site_fract_x
_atom_site_fract_y
_atom_site_fract_z
Zr1 0.000 0.000 0.000
Zr2 0.000 0.500 0.500
Zr3 0.500 0.000 0.500
Zr4 0.500 0.500 0.000
Pa1 0.000 0.000 0.500
Pa2 0.000 0.500 0.000
Pa3 0.500 0.000 0.000
Pa4 0.500 0.500 0.500
Re1 0.250 0.250 0.250
Re2 0.250 0.750 0.750
Re3 0.750 0.250 0.750
Re4 0.750 0.750 0.250
Ni1 0.250 0.250 0.750
Ni2 0.250 0.750 0.250
Ni3 0.750 0.250 0.250
Ni4 0.750 0.750 0.750

***

# 5
# PmFe5H11 PBE-GGA optimized geometry
# Density = 5.19 g/cm³
# E = -84.2 eV per formula unit
# N(E_F) = 0.395 states/eV/atom
data_PmFe5H11
_chemical_formula_sum 'Pm1 Fe5 H11'
_cell_length_a 5.276
_cell_length_b 5.276
_cell_length_c 5.916
_cell_angle_alpha 103.67
_cell_angle_beta 103.67
_cell_angle_gamma 111.26
_space_group_name_H-M_alt 'P 1'
_space_group_IT_number 1
loop_
_space_group_symop_operation_xyz
'x,y,z'
loop_
_atom_site_label
_atom_site_fract_x
_atom_site_fract_y
_atom_site_fract_z
Pm1 0.000 0.000 0.000
Fe1 0.070 0.367 0.627
Fe2 0.367 0.070 0.627
Fe3 0.500 0.500 0.000
Fe4 0.633 0.930 0.373
Fe5 0.930 0.633 0.373
H1 0.000 0.000 0.500
H2 0.135 0.729 0.673
H3 0.166 0.456 0.945
H4 0.271 0.865 0.327
H5 0.456 0.166 0.945
H6 0.461 0.461 0.705
H7 0.539 0.539 0.295
H8 0.544 0.834 0.055
H9 0.729 0.135 0.673
H10 0.834 0.544 0.055
H11 0.865 0.271 0.327

***

- What is the formula in the fourth record?
  ZrPaReNi